[1]
DFT (SCAN) results for a crystal of SbRhBr relaxed with PBEsol.

Lattice parameters (Å, degrees): 4.654 4.654 4.654 60.00 60.00 60.00
Element x y z (fractional)
Sb 0.750 0.750 0.750
Rh 0.500 0.500 0.500
Br 0.000 0.000 0.000

Computed properties:
- energy above the lowest structure with this stoichiometry (eV/f.u.) = 0.00
- mass density (kg/m³) = 7095
- space-group type = F-43m (216)
- ΔE_f (raw) (eV per atom) = 0.672

---

[2]
DFT (SCAN) results for a crystal of K2ScBr relaxed with PBEsol.

Lattice parameters (Å, degrees): 3.756 3.756 11.800 90.00 90.00 118.37
Site moments in Bohr magnetons follow the coordinates.
Element x y z (fractional)
Br 0.500 0.500 0.276  0.01
K 0.000 0.000 0.058  0.00
K 0.500 0.500 0.719  0.00
Sc 0.000 0.000 0.447  0.56

Computed properties:
- energy above the lowest structure with this stoichiometry (eV/f.u.) = 0.02
- mass density (kg/m³) = 2302
- space-group type = Cmm2 (35)
- ΔE_f (raw) (eV per atom) = -0.340

---

[3]
DFT (SCAN) results for a crystal of TaTi2Al relaxed with PBEsol.

Lattice parameters (Å, degrees): 5.335 5.746 5.746 77.55 62.34 62.34
Element x y z (fractional)
Ti 0.875 0.993 0.507
Ti 0.375 0.007 0.493
Ti 0.618 0.507 0.007
Ti 0.132 0.493 0.993
Al 0.500 0.000 0.000
Al 0.250 0.500 0.500
Ta 0.000 0.000 0.000
Ta 0.750 0.500 0.500

Computed properties:
- mass density (kg/m³) = 7299
- E_form (eV per atom) = 0.365
- space-group type = I-42d (122)

---

[4]
DFT (SCAN) results for a crystal of La2TaAu relaxed with PBEsol.

Lattice parameters (Å, degrees): 3.324 5.295 6.493 114.06 104.83 90.00
Element x y z (fractional)
Au 0.218 0.218 0.436
La 0.976 0.476 0.952
La 0.774 0.774 0.548
Ta 0.532 0.032 0.064

Computed properties:
- energy above the lowest structure with this stoichiometry (eV/f.u.) = 0.00
- mass density (kg/m³) = 10872
- E_form (eV per atom) = -0.098
- space-group type = Imm2 (44)

---

Q: Which DOS(E_F) values were calculated for the entries above? A: 2.58, 2.54, 3.10, 4.13, in states/eV/f.u..